Record 1
First-principles (PBE) data for crystalline Pm11Tl9Zn4 at its relaxed geometry, as listed in Alexandria via LeMat-Bulk.

Computed properties:
* formation enthalpy at 0 K: -34 kJ/mol of atoms
* size of the total moment: 0.00 μB/f.u.
* E_tot: -3.63 eV per atom
* DOS at the Fermi energy: 24.3 states/eV/cell

Lattice parameters (Å, degrees): 3.855 13.593 13.593 112.71 90.00 90.00
Element x y z (fractional)
Pm  0.000  0.585  0.927
Pm  0.000  0.415  0.073
Pm  0.000  0.927  0.585
Pm  0.000  0.073  0.415
Pm  0.000  0.634  0.366
Pm  0.000  0.366  0.634
Pm  0.000  0.836  0.164
Pm  0.000  0.164  0.836
Pm  0.000  0.000  0.000
Pm  0.000  0.704  0.704
Pm  0.000  0.296  0.296
Tl  0.500  0.631  0.152
Tl  0.500  0.369  0.848
Tl  0.500  0.152  0.631
Tl  0.500  0.848  0.369
Tl  0.500  0.785  0.934
Tl  0.500  0.215  0.066
Tl  0.500  0.934  0.785
Tl  0.500  0.066  0.215
Tl  0.500  0.500  0.500
Zn  0.500  0.549  0.744
Zn  0.500  0.451  0.256
Zn  0.500  0.744  0.549
Zn  0.500  0.256  0.451


Record 2
First-principles (PBE) data for crystalline Pm3TlZn8 at its relaxed geometry, as listed in Alexandria via LeMat-Bulk.

Computed properties:
* formation enthalpy at 0 K: -24 kJ/mol of atoms
* size of the total moment: 0.00 μB/f.u.
* E_tot: -2.48 eV per atom
* DOS at the Fermi energy: 6.7 states/eV/cell

Lattice parameters (Å, degrees): 5.579 5.579 9.556 73.03 73.03 60.00
Element x y z (fractional)
Pm  0.377  0.377  0.868
Pm  0.995  0.995  0.016
Pm  0.503  0.503  0.490
Tl  0.872  0.872  0.384
Zn  0.938  0.440  0.182
Zn  0.429  0.940  0.691
Zn  0.440  0.440  0.182
Zn  0.940  0.940  0.691
Zn  0.186  0.186  0.441
Zn  0.689  0.689  0.933
Zn  0.440  0.938  0.182
Zn  0.940  0.429  0.691